No. 1
Here is NaHo2BiO6 after structural relaxation from Alexandria via LeMat-Bulk. Energies are from PBE.

Values from the calculation:
Total magnetization ... 0.0 μB per cell
Energy relative to the elements, uncorrected ... -23.52 eV per formula unit

Structure (POSCAR):
```
NaHo2BiO6
1.0
2.885 1.666 5.143
-2.885 1.666 5.143
0.000 -3.332 5.143
Na Ho Bi O
1 2 1 6
direct
0.000 0.000 0.000
0.274 0.274 0.274
0.778 0.778 0.778
0.479 0.479 0.479
0.092 0.648 0.412
0.203 0.566 0.861
0.412 0.092 0.648
0.566 0.861 0.203
0.648 0.412 0.092
0.861 0.203 0.566
```

***

No. 2
Here is Pu4PaSn2 after structural relaxation from Alexandria via LeMat-Bulk. Energies are from PBE.

Values from the calculation:
Total magnetization ... 0.3 μB per cell
Energy of formation ... -0.0393 eV per atom

Structure (POSCAR):
```
Pu4PaSn2
1.0
0.000 5.105 5.457
3.022 0.000 5.457
3.022 5.105 0.000
Pu Pa Sn
4 1 2
direct
0.000 0.000 0.500
0.250 0.250 0.250
0.500 0.500 0.000
0.750 0.750 0.750
0.000 0.000 0.000
0.359 0.359 0.641
0.641 0.641 0.359
```

***

No. 3
Here is TaHg2I5 after structural relaxation from Alexandria via LeMat-Bulk. Energies are from PBE.

Values from the calculation:
Total magnetization ... 0.0 μB per cell
Energy relative to the elements, uncorrected ... -2.39 eV per formula unit

Structure (POSCAR):
```
TaHg2I5
1.0
7.763 0.000 0.000
-3.456 6.957 0.000
-1.458 -3.901 6.944
Ta Hg I
1 2 5
direct
0.000 0.000 0.000
0.374 0.871 0.499
0.770 0.270 0.500
0.004 0.661 0.001
0.179 0.230 0.393
0.328 0.329 0.000
0.659 0.001 0.999
0.838 0.786 0.607
```

***

No. 4
Here is PbAuBr4 after structural relaxation from Alexandria via LeMat-Bulk. Energies are from PBE.

Values from the calculation:
Total magnetization ... 0.0 μB per cell
Energy relative to the elements, uncorrected ... -2.76 eV per formula unit

Structure (POSCAR):
```
PbAuBr4
1.0
8.446 0.000 0.000
0.000 6.761 0.000
-4.022 0.000 7.412
Pb Au Br
2 2 8
direct
0.000 0.000 0.000
0.000 0.500 0.500
0.500 0.000 0.000
0.500 0.500 0.500
0.186 0.199 0.802
0.186 0.301 0.302
0.339 0.741 0.601
0.339 0.759 0.101
0.661 0.241 0.899
0.661 0.259 0.399
0.814 0.699 0.698
0.814 0.801 0.198
```

***

No. 5
Here is Mo2Pt after structural relaxation from Alexandria via LeMat-Bulk. Energies are from PBE.

Values from the calculation:
Total magnetization ... 0.0 μB per cell
Polymorph energy (0 for the lowest one) ... 0.988 eV/atom
Energy of formation ... 0.8241 eV per atom

Structure (POSCAR):
```
Mo2Pt
1.0
4.623 0.000 0.000
0.000 4.623 0.000
0.000 0.000 2.672
Mo Pt
2 1
direct
0.000 0.500 0.000
0.500 0.000 0.000
0.000 0.000 0.500
```

***

No. 6
Here is Ta2WBr after structural relaxation from Alexandria via LeMat-Bulk. Energies are from PBE.

Values from the calculation:
Total magnetization ... 0.0 μB per cell
Energy relative to the elements, uncorrected ... 3.06 eV per formula unit
Polymorph energy (0 for the lowest one) ... 0.596 eV/atom

Structure (POSCAR):
```
Ta2WBr
1.0
-1.645 2.470 4.418
1.645 -2.470 4.418
1.645 2.470 -4.418
Ta W Br
2 1 1
direct
0.249 0.249 0.000
0.751 0.751 0.000
0.000 0.500 0.500
0.500 0.000 0.500
```

***

No. 7
Here is Pr3CoP2 after structural relaxation from Alexandria via LeMat-Bulk. Energies are from PBE.

Values from the calculation:
Total magnetization ... 0.0 μB per cell
Energy of formation ... -0.9942 eV per atom

Structure (POSCAR):
```
Pr3CoP2
1.0
11.383 0.000 0.000
0.000 4.126 0.000
0.000 0.000 11.687
Pr Co P
12 4 8
direct
0.063 0.250 0.124
0.113 0.750 0.561
0.203 0.250 0.805
0.297 0.750 0.305
0.387 0.250 0.061
0.437 0.750 0.624
0.563 0.250 0.376
0.613 0.750 0.939
0.703 0.250 0.695
0.797 0.750 0.195
0.887 0.250 0.439
0.937 0.750 0.876
0.133 0.250 0.363
0.367 0.750 0.863
0.633 0.250 0.137
0.867 0.750 0.637
0.038 0.750 0.316
0.200 0.750 0.988
0.300 0.250 0.488
0.462 0.250 0.816
0.538 0.750 0.184
0.700 0.750 0.512
0.800 0.250 0.012
0.962 0.250 0.684
```

***

No. 8
Here is Rb2HoTe2O6 after structural relaxation from Alexandria via LeMat-Bulk. Energies are from PBE.

Values from the calculation:
Total magnetization ... 0.0 μB per cell
Energy relative to the elements, uncorrected ... -18.19 eV per formula unit

Structure (POSCAR):
```
Rb2HoTe2O6
1.0
4.938 -3.265 0.000
4.938 3.265 0.000
-2.507 0.000 6.879
Rb Ho Te O
2 1 2 6
direct
0.196 0.196 0.128
0.804 0.804 0.872
0.000 0.000 0.500
0.419 0.419 0.739
0.581 0.581 0.261
0.218 0.731 0.266
0.237 0.237 0.531
0.269 0.782 0.734
0.731 0.218 0.266
0.763 0.763 0.469
0.782 0.269 0.734
```

***

Total DFT energy (no corrections) in eV per atom, matching the order above: -6.763; -10.729; -2.825; -2.740; -8.410; -8.818; -6.372; -5.521